[1]
An optimized crystal structure of CaMg30MnO32. Source: Alexandria, functional PBEsol.

Calculated values
Crystal system: tetragonal
Formation energy from raw total energies (eV per atom): -2.6651

abc: 8.468 8.468 8.468
angles: 90.00 90.00 90.00
Space group P4/mmm (No. 123)
Symmetry-distinct sites (fractional):
Ca: 0.000 0.000 0.000 x1
Mg: 0.000 0.000 0.500 x1
Mg: 0.000 0.253 0.253 x8
Mg: 0.000 0.500 0.000 x2
Mg: 0.000 0.500 0.500 x2
Mg: 0.251 0.251 0.500 x4
Mg: 0.252 0.500 0.249 x8
Mg: 0.254 0.254 0.000 x4
Mg: 0.500 0.500 0.500 x1
Mn: 0.500 0.500 0.000 x1
O: 0.000 0.000 0.262 x2
O: 0.000 0.252 0.500 x4
O: 0.000 0.263 0.000 x4
O: 0.000 0.500 0.251 x4
O: 0.250 0.250 0.250 x8
O: 0.251 0.500 0.500 x4
O: 0.254 0.500 0.000 x4
O: 0.500 0.500 0.249 x2


[2]
An optimized crystal structure of Co2TcP. Source: Alexandria, functional PBEsol.

Calculated values
Formation energy (meV per atom): -119
Crystal system: orthorhombic

abc: 2.972 3.871 3.877
angles: 90.00 90.00 90.00
Space group Pmmm (No. 47)
Symmetry-distinct sites (fractional):
Co: 0.000 0.000 0.000 x1
Co: 0.500 0.000 0.500 x1
Tc: 0.000 0.500 0.500 x1
P: 0.500 0.500 0.000 x1


Computed values of magnetic moment (unit: μB/f.u.) for the preceding records, in sequence: 1.00, 0.43.
Computed values of VASP energy (unit: eV/atom) for the preceding records, in sequence: -6.28, -8.25.
Computed values of density (unit: Mg/m³) for the preceding records, in sequence: 3.7, 9.2.